This record from the Alexandria database describes K2Sb2Au after structural relaxation. The functional is GGA-PBE.

a = 7.0372 Å, b = 7.0372 Å, c = 8.1247 Å
α = 90.00°, β = 90.00°, γ = 90.00°
Atoms (fractional coordinates):
K1 0.0000 0.5000 0.2500
K2 0.0000 0.5000 0.7500
K3 0.5000 0.0000 0.2500
K4 0.5000 0.0000 0.7500
Sb1 0.0000 0.0000 0.1750
Sb2 0.0000 0.0000 0.8250
Sb3 0.5000 0.5000 0.3250
Sb4 0.5000 0.5000 0.6750
Au1 0.0000 0.0000 0.5000
Au2 0.5000 0.5000 0.0000

## Properties
Magnetization, μB/atom: 0.000
Energy relative to the elements, uncorrected, eV/f.u.: -0.6

***

This record from the Alexandria database describes KHg2Cl after structural relaxation. The functional is GGA-PBE.

a = 8.9847 Å, b = 5.0720 Å, c = 7.5234 Å
α = 90.00°, β = 113.14°, γ = 90.00°
Atoms (fractional coordinates):
K1 0.0000 0.0000 0.0000
K2 0.5000 0.5000 0.0000
Hg1 0.1943 0.0000 0.5754
Hg2 0.4583 0.0000 0.3778
Hg3 0.6943 0.5000 0.5754
Hg4 0.9583 0.5000 0.3778
Cl1 0.1413 0.5000 0.9123
Cl2 0.6413 0.0000 0.9123

## Properties
Magnetization, μB/atom: 0.000
Energy relative to the elements, uncorrected, eV/f.u.: -3.4

***

This record from the Alexandria database describes KMo2 after structural relaxation. The functional is GGA-PBE.

a = 6.5403 Å, b = 6.5403 Å, c = 8.8856 Å
α = 90.00°, β = 90.00°, γ = 120.00°
Atoms (fractional coordinates):
K1 0.3333 0.6667 0.0537
K2 0.3333 0.6667 0.4463
K3 0.6667 0.3333 0.5537
K4 0.6667 0.3333 0.9463
Mo1 0.0000 0.0000 0.0000
Mo2 0.0000 0.0000 0.5000
Mo3 0.1267 0.2534 0.7500
Mo4 0.1267 0.8733 0.7500
Mo5 0.2534 0.1267 0.2500
Mo6 0.7466 0.8733 0.7500
Mo7 0.8733 0.1267 0.2500
Mo8 0.8733 0.7466 0.2500

## Properties
Magnetization, μB/atom: 0.000
Energy relative to the elements, eV per atom: 1.39

***

This record from the Alexandria database describes Er2ScS4 after structural relaxation. The functional is GGA-PBE.

a = 7.8547 Å, b = 7.8547 Å, c = 7.8547 Å
α = 120.08°, β = 120.08°, γ = 89.87°
Atoms (fractional coordinates):
Er1 0.0000 0.0000 0.0000
Er2 0.0000 0.0000 0.5000
Er3 0.0000 0.5000 0.0000
Er4 0.5000 0.0000 0.5000
Sc1 0.3750 0.6250 0.7500
Sc2 0.6250 0.3750 0.2500
S1 0.2366 0.2452 0.9914
S2 0.2452 0.2366 0.4914
S3 0.2452 0.7538 0.0086
S4 0.2462 0.7548 0.4914
S5 0.7538 0.2452 0.5086
S6 0.7548 0.2462 0.9914
S7 0.7548 0.7634 0.5086
S8 0.7634 0.7548 0.0086

## Properties
Magnetization, μB/atom: 0.000
Energy relative to the elements, uncorrected, eV/f.u.: -13.3

***

This record from the Alexandria database describes EuY3Ru after structural relaxation. The functional is GGA-PBE.

a = 5.4657 Å, b = 5.4657 Å, c = 5.4657 Å
α = 90.00°, β = 90.00°, γ = 90.00°
Atoms (fractional coordinates):
Eu1 0.0000 0.0000 0.0000
Y1 0.0000 0.5000 0.5000
Y2 0.5000 0.0000 0.5000
Y3 0.5000 0.5000 0.0000
Ru1 0.5000 0.5000 0.5000

## Properties
Magnetization, μB/atom: 1.449
Energy relative to the elements, eV per atom: -0.15

***

This record from the Alexandria database describes K3Ge5I12 after structural relaxation. The functional is GGA-PBE.

a = 16.7699 Å, b = 16.7699 Å, c = 16.7699 Å
α = 109.47°, β = 109.47°, γ = 109.47°
Atoms (fractional coordinates):
K1 0.1250 0.2500 0.3750
K2 0.1250 0.3750 0.7500
K3 0.2500 0.3750 0.1250
K4 0.2500 0.8750 0.6250
K5 0.3750 0.1250 0.2500
K6 0.3750 0.7500 0.1250
K7 0.6250 0.2500 0.8750
K8 0.6250 0.8750 0.7500
K9 0.7500 0.1250 0.3750
K10 0.7500 0.6250 0.8750
K11 0.8750 0.6250 0.2500
K12 0.8750 0.7500 0.6250
Ge1 0.0000 0.0000 0.0000
Ge2 0.0000 0.0000 0.5000
Ge3 0.0000 0.5000 0.0000
Ge4 0.0000 0.5000 0.5000
Ge5 0.1250 0.7500 0.8750
Ge6 0.1250 0.8750 0.2500
Ge7 0.2500 0.1250 0.8750
Ge8 0.2500 0.6250 0.3750
Ge9 0.3750 0.2500 0.6250
Ge10 0.3750 0.6250 0.7500
Ge11 0.5000 0.0000 0.0000
Ge12 0.5000 0.0000 0.5000
Ge13 0.5000 0.5000 0.0000
Ge14 0.5000 0.5000 0.5000
Ge15 0.6250 0.3750 0.2500
Ge16 0.6250 0.7500 0.3750
Ge17 0.7500 0.3750 0.6250
Ge18 0.7500 0.8750 0.1250
Ge19 0.8750 0.1250 0.7500
Ge20 0.8750 0.2500 0.1250
I1 0.0215 0.1971 0.1159
I2 0.0215 0.3244 0.9056
I3 0.0813 0.6971 0.6756
I4 0.0813 0.8841 0.4056
I5 0.0944 0.6159 0.4187
I6 0.0944 0.9785 0.6756
I7 0.1159 0.0215 0.1971
I8 0.1159 0.5944 0.9187
I9 0.1756 0.1971 0.5813
I10 0.1756 0.4785 0.5944
I11 0.1971 0.1159 0.0215
I12 0.1971 0.5813 0.1756
I13 0.3029 0.3244 0.9187
I14 0.3029 0.4785 0.3841
I15 0.3244 0.9056 0.0215
I16 0.3244 0.9187 0.3029
I17 0.3841 0.3029 0.4785
I18 0.3841 0.5813 0.9056
I19 0.4056 0.0813 0.8841
I20 0.4056 0.8244 0.5215
I21 0.4187 0.0944 0.6159
I22 0.4187 0.8244 0.8029
I23 0.4785 0.3841 0.3029
I24 0.4785 0.5944 0.1756
I25 0.5215 0.4056 0.8244
I26 0.5215 0.6159 0.6971
I27 0.5813 0.1756 0.1971
I28 0.5813 0.9056 0.3841
I29 0.5944 0.1756 0.4785
I30 0.5944 0.9187 0.1159
I31 0.6159 0.4187 0.0944
I32 0.6159 0.6971 0.5215
I33 0.6756 0.0813 0.6971
I34 0.6756 0.0944 0.9785
I35 0.6971 0.5215 0.6159
I36 0.6971 0.6756 0.0813
I37 0.8029 0.4187 0.8244
I38 0.8029 0.8841 0.9785
I39 0.8244 0.5215 0.4056
I40 0.8244 0.8029 0.4187
I41 0.8841 0.4056 0.0813
I42 0.8841 0.9785 0.8029
I43 0.9056 0.0215 0.3244
I44 0.9056 0.3841 0.5813
I45 0.9187 0.1159 0.5944
I46 0.9187 0.3029 0.3244
I47 0.9785 0.6756 0.0944
I48 0.9785 0.8029 0.8841

## Properties
Magnetization, μB/atom: 0.000
Energy relative to the elements, uncorrected, eV/f.u.: -10.8